1.
Density functional theory data (PBE-GGA) for crystalline Sm5PaSe6 at its relaxed geometry.

abc: 7.186 7.186 7.193
angles: 99.58 99.58 119.85
Positions (direct):
1 Sm 0.000 0.000 0.000
2 Sm 0.166 0.834 0.500
3 Sm 0.325 0.675 0.000
4 Sm 0.675 0.325 0.000
5 Sm 0.834 0.166 0.500
6 Pa 0.500 0.500 0.500
7 Se 0.091 0.418 0.255
8 Se 0.258 0.258 0.753
9 Se 0.418 0.091 0.255
10 Se 0.582 0.909 0.745
11 Se 0.742 0.742 0.247
12 Se 0.909 0.582 0.745

Output
DFT total energy (eV per atom): -6.2012
Energy relative to the elements, uncorrected (eV per formula unit): -20.4
ρ (g/cm³): 7.96
Spin magnetization (μB per formula unit): 0.006

2.
Density functional theory data (PBE-GGA) for crystalline Sm5Pa3Se8 at its relaxed geometry.

abc: 8.345 8.345 8.345
angles: 58.78 58.78 58.78
Positions (direct):
1 Sm 0.000 0.000 0.000
2 Sm 0.000 0.500 0.500
3 Sm 0.500 0.000 0.500
4 Sm 0.500 0.500 0.000
5 Sm 0.500 0.500 0.500
6 Pa 0.000 0.000 0.500
7 Pa 0.000 0.500 0.000
8 Pa 0.500 0.000 0.000
9 Se 0.247 0.750 0.750
10 Se 0.249 0.249 0.249
11 Se 0.250 0.250 0.753
12 Se 0.250 0.753 0.250
13 Se 0.750 0.247 0.750
14 Se 0.750 0.750 0.247
15 Se 0.751 0.751 0.751
16 Se 0.753 0.250 0.250

Output
DFT total energy (eV per atom): -6.5617
Energy relative to the elements, uncorrected (eV per formula unit): -25.0
ρ (g/cm³): 8.63
Spin magnetization (μB per formula unit): 2.669

3.
Density functional theory data (PBE-GGA) for crystalline SmPaSe2 at its relaxed geometry.

abc: 5.052 5.052 3.579
angles: 90.00 90.00 90.00
Positions (direct):
1 Sm 0.000 0.000 0.000
2 Pa 0.500 0.500 0.000
3 Se 0.000 0.500 0.500
4 Se 0.500 0.000 0.500

Output
DFT total energy (eV per atom): -6.5499
Energy relative to the elements, uncorrected (eV per formula unit): -5.0
ρ (g/cm³): 9.80
Spin magnetization (μB per formula unit): 1.425

4.
Density functional theory data (PBE-GGA) for crystalline Sm3PaSe6 at its relaxed geometry.

abc: 9.043 9.043 7.193
angles: 90.00 90.00 101.81
Positions (direct):
1 Sm 0.095 0.905 0.500
2 Sm 0.211 0.413 0.608
3 Sm 0.413 0.211 0.108
4 Sm 0.587 0.789 0.608
5 Sm 0.789 0.587 0.108
6 Sm 0.905 0.095 0.000
7 Pa 0.337 0.663 0.116
8 Pa 0.663 0.337 0.616
9 Se 0.069 0.598 0.322
10 Se 0.128 0.197 0.301
11 Se 0.197 0.128 0.801
12 Se 0.270 0.730 0.751
13 Se 0.402 0.931 0.322
14 Se 0.492 0.508 0.376
15 Se 0.508 0.492 0.876
16 Se 0.598 0.069 0.822
17 Se 0.730 0.270 0.251
18 Se 0.803 0.872 0.301
19 Se 0.872 0.803 0.801
20 Se 0.931 0.402 0.822

Output
DFT total energy (eV per atom): -6.0712
Energy relative to the elements, uncorrected (eV per formula unit): -16.2
ρ (g/cm³): 6.67
Spin magnetization (μB per formula unit): 2.033